*i*
Entry from Alexandria: an optimized crystal structure of GaSnRh2 (PBE-GGA).

Results
- total magnetic moment (μB per cell) = 0.00

Geometry as CIF:
```
data_GaSnRh2
_chemical_formula_sum 'Ga2 Sn2 Rh4'
_cell_length_a 4.144
_cell_length_b 4.144
_cell_length_c 9.015
_cell_angle_alpha 76.71
_cell_angle_beta 76.71
_cell_angle_gamma 90.00
_space_group_name_H-M_alt 'P 1'
_space_group_IT_number 1
_space_group_name_Hall 'P 1'
loop_
_atom_site_label
_atom_site_type_symbol
_atom_site_fract_x
_atom_site_fract_y
_atom_site_fract_z
Ga1 Ga 0.500 0.500 0.000
Ga2 Ga 0.250 0.750 0.500
Sn1 Sn 0.000 0.000 0.000
Sn2 Sn 0.750 0.250 0.500
Rh1 Rh 0.375 0.404 0.750
Rh2 Rh 0.154 0.625 0.250
Rh3 Rh 0.596 0.125 0.250
Rh4 Rh 0.875 0.846 0.750
```


*ii*
Entry from Alexandria: an optimized crystal structure of GaSnRh2 (PBE-GGA).

Results
- total magnetic moment (μB per cell) = 0.00

Geometry as CIF:
```
data_GaSnRh2
_chemical_formula_sum 'Ga1 Sn1 Rh2'
_cell_length_a 3.815
_cell_length_b 3.815
_cell_length_c 6.140
_cell_angle_alpha 71.90
_cell_angle_beta 71.90
_cell_angle_gamma 60.00
_space_group_name_H-M_alt 'P 1'
_space_group_IT_number 1
_space_group_name_Hall 'P 1'
loop_
_atom_site_label
_atom_site_type_symbol
_atom_site_fract_x
_atom_site_fract_y
_atom_site_fract_z
Sn1 Sn 0.669 0.669 0.993
Rh1 Rh 0.085 0.085 0.745
Rh2 Rh 0.248 0.248 0.255
Ga1 Ga 0.498 0.498 0.507
```


Most stable: *ii*. Least stable: *i*.


*i*
Entry from Alexandria: an optimized crystal structure of GaSnRh3 (PBE-GGA).

Results
- total magnetic moment (μB per cell) = 0.00

Geometry as CIF:
```
data_GaSnRh3
_chemical_formula_sum 'Ga1 Sn1 Rh3'
_cell_length_a 4.535
_cell_length_b 4.535
_cell_length_c 4.535
_cell_angle_alpha 90.00
_cell_angle_beta 90.00
_cell_angle_gamma 90.00
_space_group_name_H-M_alt 'P 1'
_space_group_IT_number 1
_space_group_name_Hall 'P 1'
loop_
_atom_site_label
_atom_site_type_symbol
_atom_site_fract_x
_atom_site_fract_y
_atom_site_fract_z
Ga1 Ga 0.000 0.000 0.000
Rh1 Rh 0.000 0.500 0.000
Rh2 Rh 0.500 0.000 0.000
Rh3 Rh 0.000 0.000 0.500
Sn1 Sn 0.500 0.500 0.500
```


*ii*
Entry from Alexandria: an optimized crystal structure of GaSnRh3 (PBE-GGA).

Results
- total magnetic moment (μB per cell) = 0.00

Geometry as CIF:
```
data_GaSnRh3
_chemical_formula_sum 'Ga2 Sn2 Rh6'
_cell_length_a 4.753
_cell_length_b 6.383
_cell_length_c 6.383
_cell_angle_alpha 119.98
_cell_angle_beta 90.00
_cell_angle_gamma 90.00
_space_group_name_H-M_alt 'P 1'
_space_group_IT_number 1
_space_group_name_Hall 'P 1'
loop_
_atom_site_label
_atom_site_type_symbol
_atom_site_fract_x
_atom_site_fract_y
_atom_site_fract_z
Rh1 Rh 0.750 0.194 0.806
Rh2 Rh 0.250 0.806 0.612
Rh3 Rh 0.750 0.612 0.806
Rh4 Rh 0.250 0.806 0.194
Rh5 Rh 0.750 0.194 0.388
Rh6 Rh 0.250 0.388 0.194
Sn1 Sn 0.250 0.334 0.666
Sn2 Sn 0.750 0.666 0.334
Ga1 Ga 0.500 0.000 0.000
Ga2 Ga 0.000 0.000 0.000
```


Most stable: *ii*. Least stable: *i*.


*i*
Entry from Alexandria: an optimized crystal structure of TaGa3Rh (PBE-GGA).

Results
- total magnetic moment (μB per cell) = 0.00

Geometry as CIF:
```
data_TaGa3Rh
_chemical_formula_sum 'Ta1 Ga3 Rh1'
_cell_length_a 4.636
_cell_length_b 4.636
_cell_length_c 4.636
_cell_angle_alpha 90.00
_cell_angle_beta 90.00
_cell_angle_gamma 90.00
_space_group_name_H-M_alt 'P 1'
_space_group_IT_number 1
_space_group_name_Hall 'P 1'
loop_
_atom_site_label
_atom_site_type_symbol
_atom_site_fract_x
_atom_site_fract_y
_atom_site_fract_z
Ga1 Ga 0.000 0.000 0.500
Ga2 Ga 0.000 0.500 0.000
Ga3 Ga 0.500 0.000 0.000
Ta1 Ta 0.500 0.500 0.500
Rh1 Rh 0.000 0.000 0.000
```


*ii*
Entry from Alexandria: an optimized crystal structure of TaGa3Rh (PBE-GGA).

Results
- total magnetic moment (μB per cell) = 0.95

Geometry as CIF:
```
data_TaGa3Rh
_chemical_formula_sum 'Ta1 Ga3 Rh1'
_cell_length_a 4.919
_cell_length_b 4.919
_cell_length_c 4.919
_cell_angle_alpha 90.00
_cell_angle_beta 90.00
_cell_angle_gamma 90.00
_space_group_name_H-M_alt 'P 1'
_space_group_IT_number 1
_space_group_name_Hall 'P 1'
loop_
_atom_site_label
_atom_site_type_symbol
_atom_site_fract_x
_atom_site_fract_y
_atom_site_fract_z
Rh1 Rh 0.500 0.500 0.500
Ga1 Ga 0.500 0.000 0.000
Ga2 Ga 0.000 0.500 0.000
Ga3 Ga 0.000 0.000 0.500
Ta1 Ta 0.000 0.000 0.000
```


Most stable: *i*. Least stable: *ii*.


*i*
Entry from Alexandria: an optimized crystal structure of TaGa2Rh2 (PBE-GGA).

Results
- total magnetic moment (μB per cell) = 0.00

Geometry as CIF:
```
data_TaGa2Rh2
_chemical_formula_sum 'Ta2 Ga4 Rh4'
_cell_length_a 7.274
_cell_length_b 7.274
_cell_length_c 2.895
_cell_angle_alpha 90.00
_cell_angle_beta 90.00
_cell_angle_gamma 90.00
_space_group_name_H-M_alt 'P 1'
_space_group_IT_number 1
_space_group_name_Hall 'P 1'
loop_
_atom_site_label
_atom_site_type_symbol
_atom_site_fract_x
_atom_site_fract_y
_atom_site_fract_z
Ta1 Ta 0.000 0.000 0.000
Ta2 Ta 0.500 0.500 0.000
Ga1 Ga 0.340 0.160 0.500
Ga2 Ga 0.160 0.660 0.500
Ga3 Ga 0.840 0.340 0.500
Ga4 Ga 0.660 0.840 0.500
Rh1 Rh 0.139 0.361 0.000
Rh2 Rh 0.361 0.861 0.000
Rh3 Rh 0.639 0.139 0.000
Rh4 Rh 0.861 0.639 0.000
```


*ii*
Entry from Alexandria: an optimized crystal structure of TaGa2Rh2 (PBE-GGA).

Results
- total magnetic moment (μB per cell) = 0.00

Geometry as CIF:
```
data_TaGa2Rh2
_chemical_formula_sum 'Ta2 Ga4 Rh4'
_cell_length_a 7.286
_cell_length_b 7.286
_cell_length_c 2.841
_cell_angle_alpha 90.00
_cell_angle_beta 90.00
_cell_angle_gamma 90.00
_space_group_name_H-M_alt 'P 1'
_space_group_IT_number 1
_space_group_name_Hall 'P 1'
loop_
_atom_site_label
_atom_site_type_symbol
_atom_site_fract_x
_atom_site_fract_y
_atom_site_fract_z
Ta1 Ta 0.500 0.500 0.000
Ta2 Ta 0.000 0.000 0.000
Ga1 Ga 0.628 0.128 0.000
Ga2 Ga 0.128 0.372 0.000
Ga3 Ga 0.372 0.872 0.000
Ga4 Ga 0.872 0.628 0.000
Rh1 Rh 0.329 0.171 0.500
Rh2 Rh 0.671 0.829 0.500
Rh3 Rh 0.171 0.671 0.500
Rh4 Rh 0.829 0.329 0.500
```


Most stable: *ii*. Least stable: *i*.